Below is a relaxed structure of Be2Si, with properties calculated at the PBEsol level.

Cell lengths 2.6252, 4.6508, 5.7204 Å; angles 113.99, 103.27, 90.00 degrees
Fractional positions:
Be1 0.1347 0.6347 0.2694
Be2 0.5000 0.7555 0.0000
Be3 0.5000 0.2445 0.0000
Be4 0.8653 0.3653 0.7306
Si1 0.8328 0.8328 0.6657
Si2 0.1672 0.1672 0.3343

Total moment ... 0.00 μB per cell
Energy relative to the elements, uncorrected ... 0.194 eV/atom
VASP energy ... -4.388 eV/atom

***

Below is a relaxed structure of Zr2CoRh, with properties calculated at the PBEsol level.

Cell lengths 3.2638, 4.2222, 5.1069 Å; angles 90.00, 108.64, 90.00 degrees
Fractional positions:
Rh1 0.6649 0.5000 0.3297
Co1 0.8421 0.0000 0.6842
Zr1 0.1077 0.0000 0.2154
Zr2 0.3909 0.5000 0.7818

Total moment ... 0.00 μB per cell
VASP energy ... -9.053 eV/atom
E above lowest polymorph ... 0.000 eV/atom
ΔE_f ... -0.54 eV per atom

***

What did the second record say?
Below is a relaxed structure of Zr2CoRh, with properties calculated at the PBEsol level.

Cell lengths 3.2638, 4.2222, 5.1069 Å; angles 90.00, 108.64, 90.00 degrees
Fractional positions:
Rh1 0.6649 0.5000 0.3297
Co1 0.8421 0.0000 0.6842
Zr1 0.1077 0.0000 0.2154
Zr2 0.3909 0.5000 0.7818

Total moment ... 0.00 μB per cell
VASP energy ... -9.053 eV/atom
E above lowest polymorph ... 0.000 eV/atom
ΔE_f ... -0.54 eV per atom

***

Repeat the first record exactly.
Below is a relaxed structure of Be2Si, with properties calculated at the PBEsol level.

Cell lengths 2.6252, 4.6508, 5.7204 Å; angles 113.99, 103.27, 90.00 degrees
Fractional positions:
Be1 0.1347 0.6347 0.2694
Be2 0.5000 0.7555 0.0000
Be3 0.5000 0.2445 0.0000
Be4 0.8653 0.3653 0.7306
Si1 0.8328 0.8328 0.6657
Si2 0.1672 0.1672 0.3343

Total moment ... 0.00 μB per cell
Energy relative to the elements, uncorrected ... 0.194 eV/atom
VASP energy ... -4.388 eV/atom

***

What is the VASP energy in the second record?
-9.053 eV/atom

***

Look up the VASP energy of the second one.
-9.053 eV/atom